[1]
A plane-wave DFT calculation with PBE-GGA was carried out for Li2PrDy2In2 after structural relaxation.

abc: 4.919 4.919 9.324
angles: 74.71 74.71 60.00
Fractional positions:
1 Li 0.596 0.596 0.211
2 Li 0.404 0.404 0.789
3 Pr 0.000 0.000 0.000
4 Dy 0.129 0.129 0.614
5 Dy 0.871 0.871 0.386
6 In 0.741 0.741 0.776
7 In 0.259 0.259 0.224

Values from the calculation:
DOS at the Fermi energy in states/eV per cell: 5.7
Total moment in μB per formula unit: 0.00
Uncorrected energy in eV/cell: -24.9

---

[2]
A plane-wave DFT calculation with PBE-GGA was carried out for CsKFe2 after structural relaxation.

abc: 5.979 5.979 5.979
angles: 60.00 60.00 60.00
Fractional positions:
1 Cs 0.500 0.500 0.500
2 K 0.000 0.000 0.000
3 Fe 0.250 0.250 0.250
4 Fe 0.750 0.750 0.750

Values from the calculation:
DOS at the Fermi energy in states/eV per cell: 2.8
Total moment in μB per formula unit: 6.23
Uncorrected energy in eV/cell: -12.7

---

[3]
A plane-wave DFT calculation with PBE-GGA was carried out for Ba6Na2NF after structural relaxation.

abc: 8.158 8.174 8.995
angles: 120.40 120.44 79.91
Fractional positions:
1 Ba 0.761 0.780 0.002
2 Ba 0.746 0.749 0.477
3 Ba 0.211 0.194 0.988
4 Ba 0.739 0.248 0.983
5 Ba 0.200 0.197 0.429
6 Ba 0.233 0.724 0.981
7 Na 0.735 0.267 0.504
8 Na 0.260 0.728 0.495
9 N 0.018 0.017 0.047
10 F 0.596 0.601 0.092

Values from the calculation:
DOS at the Fermi energy in states/eV per cell: 9.6
Total moment in μB per formula unit: 0.00
ΔE_f (raw) in eV per atom: -0.656

---

[4]
A plane-wave DFT calculation with PBE-GGA was carried out for MgRe2Os after structural relaxation.

abc: 9.337 9.337 9.337
angles: 17.20 17.20 17.20
Fractional positions:
1 Mg 0.250 0.250 0.250
2 Os 0.750 0.750 0.750
3 Re 0.005 0.005 0.005
4 Re 0.495 0.495 0.495

Values from the calculation:
DOS at the Fermi energy in states/eV per cell: 5.4
Total moment in μB per formula unit: 0.00
Uncorrected energy in eV/cell: -36.8

---

- What is the total moment in the second record?
  6.23 μB per formula unit